Record 1
BeGa2Pt2 | GGA-PBE | relaxed

Properties
Crystal system = tetragonal
ΔE to the lowest computed polymorph = 1.21 eV/f.u.
ΔH_f (0 K) = -93 kJ/mol of formula units
Volume = 15.22 Å³ per atom
DOS at the Fermi energy = 0.22 states/eV/atom

The structure in CIF format:
```
data_BeGa2Pt2
_cell_length_a 7.054
_cell_length_b 7.054
_cell_length_c 3.059
_cell_angle_alpha 90.00
_cell_angle_beta 90.00
_cell_angle_gamma 90.00
_symmetry_space_group_name_H-M 'P 4/m b m'
_symmetry_Int_Tables_number 127
_symmetry_space_group_name_Hall '-P 4 2ab'
loop_
_atom_site_label
_atom_site_type_symbol
_atom_site_fract_x
_atom_site_fract_y
_atom_site_fract_z
Be1 Be 0.000 0.000 0.000
Ga1 Ga 0.141 0.359 0.000
Pt1 Pt 0.159 0.659 0.500
```

***

Record 2
Pr2Sc2Sn2O | GGA-PBE | relaxed

Properties
Crystal system = tetragonal
Volume = 23.84 Å³ per atom
E_tot = -6.436 eV/atom
DOS at the Fermi energy = 1.11 states/eV/atom

The structure in CIF format:
```
data_Pr2Sc2Sn2O
_cell_length_a 4.477
_cell_length_b 4.477
_cell_length_c 16.649
_cell_angle_alpha 90.00
_cell_angle_beta 90.00
_cell_angle_gamma 90.00
_symmetry_space_group_name_H-M 'I 4/m m m'
_symmetry_Int_Tables_number 139
_symmetry_space_group_name_Hall '-I 4 2'
loop_
_atom_site_label
_atom_site_type_symbol
_atom_site_fract_x
_atom_site_fract_y
_atom_site_fract_z
Pr1 Pr 0.000 0.000 0.170
Sc1 Sc 0.000 0.500 0.000
Sn1 Sn 0.000 0.000 0.371
O1 O 0.000 0.000 0.000
```

***

Record 3
PrNd3Ga2 | GGA-PBE | relaxed

Properties
Crystal system = orthorhombic
ΔE to the lowest computed polymorph = 0.00 eV/f.u.
ΔH_f (0 K) = -224 kJ/mol of formula units
Volume = 28.56 Å³ per atom
DOS at the Fermi energy = 1.05 states/eV/atom

The structure in CIF format:
```
data_PrNd3Ga2
_cell_length_a 5.202
_cell_length_b 9.754
_cell_length_c 6.754
_cell_angle_alpha 90.00
_cell_angle_beta 90.00
_cell_angle_gamma 90.00
_symmetry_space_group_name_H-M 'P m c 21'
_symmetry_Int_Tables_number 26
loop_
_symmetry_equiv_pos_as_xyz
'x,y,z'
'-x,-y,z+1/2'
'-x,y,z'
'x,-y,z+1/2'
loop_
_atom_site_label
_atom_site_type_symbol
_atom_site_fract_x
_atom_site_fract_y
_atom_site_fract_z
Pr1 Pr 0.000 0.054 0.000
Nd1 Nd 0.000 0.332 0.668
Nd2 Nd 0.500 0.170 0.301
Nd3 Nd 0.500 0.444 0.970
Ga1 Ga 0.000 0.350 0.197
Ga2 Ga 0.500 0.151 0.771
```

***

Record 4
AcCd2Hg | GGA-PBE | relaxed

Properties
Crystal system = tetragonal
ΔE to the lowest computed polymorph = 0.02 eV/f.u.
ΔH_f (0 K) = -128 kJ/mol of formula units
Volume = 27.75 Å³ per atom
DOS at the Fermi energy = 0.47 states/eV/atom

The structure in CIF format:
```
data_AcCd2Hg
_cell_length_a 5.416
_cell_length_b 5.416
_cell_length_c 7.568
_cell_angle_alpha 90.00
_cell_angle_beta 90.00
_cell_angle_gamma 90.00
_symmetry_space_group_name_H-M 'I -4 m 2'
_symmetry_Int_Tables_number 119
_symmetry_space_group_name_Hall 'I -4 -2'
loop_
_atom_site_label
_atom_site_type_symbol
_atom_site_fract_x
_atom_site_fract_y
_atom_site_fract_z
Ac1 Ac 0.000 0.000 0.000
Cd1 Cd 0.000 0.000 0.500
Cd2 Cd 0.000 0.500 0.750
Hg1 Hg 0.000 0.500 0.250
```

***

Record 5
Sr2NdThBi4 | GGA-PBE | relaxed

Properties
Crystal system = monoclinic
ΔH_f (0 K) = -615 kJ/mol of formula units
Volume = 37.42 Å³ per atom
DOS at the Fermi energy = 0.72 states/eV/atom

The structure in CIF format:
```
data_Sr2NdThBi4
_cell_length_a 8.143
_cell_length_b 4.690
_cell_length_c 8.296
_cell_angle_alpha 90.00
_cell_angle_beta 109.09
_cell_angle_gamma 90.00
_symmetry_space_group_name_H-M 'P 1 2/m 1'
_symmetry_Int_Tables_number 10
loop_
_symmetry_equiv_pos_as_xyz
'x,y,z'
'-x,-y,-z'
'-x,y,-z'
'x,-y,z'
loop_
_atom_site_label
_atom_site_type_symbol
_atom_site_fract_x
_atom_site_fract_y
_atom_site_fract_z
Sr1 Sr 0.000 0.000 0.000
Sr2 Sr 0.500 0.500 0.000
Nd1 Nd 0.000 0.500 0.500
Th1 Th 0.500 0.000 0.500
Bi1 Bi 0.246 0.000 0.733
Bi2 Bi 0.257 0.500 0.268
```

***

Record 6
Dy3ErRu | GGA-PBE | relaxed

Properties
Crystal system = cubic
ΔE to the lowest computed polymorph = 0.93 eV/f.u.
ΔH_f (0 K) = -19 kJ/mol of formula units
Volume = 31.09 Å³ per atom
DOS at the Fermi energy = 1.57 states/eV/atom

The structure in CIF format:
```
data_Dy3ErRu
_cell_length_a 5.377
_cell_length_b 5.377
_cell_length_c 5.377
_cell_angle_alpha 90.00
_cell_angle_beta 90.00
_cell_angle_gamma 90.00
_symmetry_space_group_name_H-M 'P m -3 m'
_symmetry_Int_Tables_number 221
_symmetry_space_group_name_Hall '-P 4 2 3'
loop_
_atom_site_label
_atom_site_type_symbol
_atom_site_fract_x
_atom_site_fract_y
_atom_site_fract_z
Dy1 Dy 0.000 0.000 0.500
Er1 Er 0.500 0.500 0.500
Ru1 Ru 0.000 0.000 0.000
```

***

Record 7
HoZrPdAu | GGA-PBE | relaxed

Properties
Crystal system = cubic
ΔH_f (0 K) = -250 kJ/mol of formula units
Volume = 20.82 Å³ per atom
DOS at the Fermi energy = 0.77 states/eV/atom

The structure in CIF format:
```
data_HoZrPdAu
_cell_length_a 6.932
_cell_length_b 6.932
_cell_length_c 6.932
_cell_angle_alpha 90.00
_cell_angle_beta 90.00
_cell_angle_gamma 90.00
_symmetry_space_group_name_H-M 'F -4 3 m'
_symmetry_Int_Tables_number 216
_symmetry_space_group_name_Hall 'F -4 2 3'
loop_
_atom_site_label
_atom_site_type_symbol
_atom_site_fract_x
_atom_site_fract_y
_atom_site_fract_z
Ho1 Ho 0.000 0.000 0.000
Zr1 Zr 0.000 0.000 0.500
Pd1 Pd 0.250 0.250 0.250
Au1 Au 0.250 0.250 0.750
```

***

Record 8
Hf2GaN | GGA-PBE | relaxed

Properties
Crystal system = cubic
Volume = 15.73 Å³ per atom
E_tot = -7.577 eV/atom
DOS at the Fermi energy = 0.56 states/eV/atom

The structure in CIF format:
```
data_Hf2GaN
_cell_length_a 6.314
_cell_length_b 6.314
_cell_length_c 6.314
_cell_angle_alpha 90.00
_cell_angle_beta 90.00
_cell_angle_gamma 90.00
_symmetry_space_group_name_H-M 'F m -3 m'
_symmetry_Int_Tables_number 225
_symmetry_space_group_name_Hall '-F 4 2 3'
loop_
_atom_site_label
_atom_site_type_symbol
_atom_site_fract_x
_atom_site_fract_y
_atom_site_fract_z
Hf1 Hf 0.250 0.250 0.250
Ga1 Ga 0.000 0.000 0.000
N1 N 0.000 0.000 0.500
```

***

Record 9
CeRe2Mo | GGA-PBE | relaxed

Properties
Crystal system = trigonal
ΔH_f (0 K) = 156 kJ/mol of formula units
Volume = 21.82 Å³ per atom
DOS at the Fermi energy = 1.37 states/eV/atom

The structure in CIF format:
```
data_CeRe2Mo
_cell_length_a 4.4728
_cell_length_b 4.4728
_cell_length_c 15.1163
_cell_angle_alpha 90.00
_cell_angle_beta 90.00
_cell_angle_gamma 120.00
_symmetry_space_group_name_H-M 'R -3 m'
_symmetry_Int_Tables_number 166
_symmetry_space_group_name_Hall '-R 3 2"'
loop_
_atom_site_label
_atom_site_type_symbol
_atom_site_fract_x
_atom_site_fract_y
_atom_site_fract_z
Ce1 Ce 0.0000 0.0000 0.0000
Re1 Re 0.0000 0.0000 0.1929
Mo1 Mo 0.0000 0.0000 0.5000
```

***

Record 10
Cs5Li3Bi3 | GGA-PBE | relaxed

Properties
Crystal system = hexagonal
ΔH_f (0 K) = -307 kJ/mol of formula units
Volume = 61.63 Å³ per atom
DOS at the Fermi energy = 0.93 states/eV/atom

The structure in CIF format:
```
data_Cs5Li3Bi3
_cell_length_a 12.0324
_cell_length_b 12.0324
_cell_length_c 5.4072
_cell_angle_alpha 90.00
_cell_angle_beta 90.00
_cell_angle_gamma 120.00
_symmetry_space_group_name_H-M 'P -6 2 m'
_symmetry_Int_Tables_number 189
_symmetry_space_group_name_Hall 'P -6 -2'
loop_
_atom_site_label
_atom_site_type_symbol
_atom_site_fract_x
_atom_site_fract_y
_atom_site_fract_z
Cs1 Cs 0.0000 0.2746 0.0000
Cs2 Cs 0.3333 0.6667 0.0000
Li1 Li 0.0000 0.6335 0.5000
Bi1 Bi 0.0000 0.6352 0.0000
```

***

Record 11
YEr4Cd5 | GGA-PBE | relaxed

Properties
Crystal system = tetragonal
ΔH_f (0 K) = -312 kJ/mol of formula units
Volume = 25.74 Å³ per atom
DOS at the Fermi energy = 0.96 states/eV/atom

The structure in CIF format:
```
data_YEr4Cd5
_cell_length_a 3.716
_cell_length_b 3.716
_cell_length_c 18.640
_cell_angle_alpha 90.00
_cell_angle_beta 90.00
_cell_angle_gamma 90.00
_symmetry_space_group_name_H-M 'P 4/m m m'
_symmetry_Int_Tables_number 123
_symmetry_space_group_name_Hall '-P 4 2'
loop_
_atom_site_label
_atom_site_type_symbol
_atom_site_fract_x
_atom_site_fract_y
_atom_site_fract_z
Y1 Y 0.000 0.000 0.000
Er1 Er 0.000 0.000 0.201
Er2 Er 0.000 0.000 0.401
Cd1 Cd 0.500 0.500 0.102
Cd2 Cd 0.500 0.500 0.301
Cd3 Cd 0.500 0.500 0.500
```

***

Record 12
La5PrSm3 | GGA-PBE | relaxed

Properties
Crystal system = tetragonal
ΔE to the lowest computed polymorph = 0.04 eV/f.u.
ΔH_f (0 K) = 209 kJ/mol of formula units
Volume = 35.97 Å³ per atom
DOS at the Fermi energy = 1.86 states/eV/atom

The structure in CIF format:
```
data_La5PrSm3
_cell_length_a 8.937
_cell_length_b 8.937
_cell_length_c 16.213
_cell_angle_alpha 90.00
_cell_angle_beta 90.00
_cell_angle_gamma 90.00
_symmetry_space_group_name_H-M 'I 4/m c m'
_symmetry_Int_Tables_number 140
_symmetry_space_group_name_Hall '-I 4 2c'
loop_
_atom_site_label
_atom_site_type_symbol
_atom_site_fract_x
_atom_site_fract_y
_atom_site_fract_z
La1 La 0.000 0.000 0.000
La2 La 0.198 0.302 0.138
Pr1 Pr 0.000 0.500 0.250
Sm1 Sm 0.000 0.000 0.250
Sm2 Sm 0.120 0.380 0.500
```

***

The highest volume belongs to which entry?
Cs5Li3Bi3

***

What is the volume in the fifth record?
37.42 Å³ per atom

***

Which formula does entry 2 have?
Pr2Sc2Sn2O

***

Repeat the seventh record exactly.
HoZrPdAu | GGA-PBE | relaxed

Properties
Crystal system = cubic
ΔH_f (0 K) = -250 kJ/mol of formula units
Volume = 20.82 Å³ per atom
DOS at the Fermi energy = 0.77 states/eV/atom

The structure in CIF format:
```
data_HoZrPdAu
_cell_length_a 6.932
_cell_length_b 6.932
_cell_length_c 6.932
_cell_angle_alpha 90.00
_cell_angle_beta 90.00
_cell_angle_gamma 90.00
_symmetry_space_group_name_H-M 'F -4 3 m'
_symmetry_Int_Tables_number 216
_symmetry_space_group_name_Hall 'F -4 2 3'
loop_
_atom_site_label
_atom_site_type_symbol
_atom_site_fract_x
_atom_site_fract_y
_atom_site_fract_z
Ho1 Ho 0.000 0.000 0.000
Zr1 Zr 0.000 0.000 0.500
Pd1 Pd 0.250 0.250 0.250
Au1 Au 0.250 0.250 0.750
```